Model w:
4
Lattice="3.524 0.000 0.000 0.000 3.524 0.000 0.000 0.000 8.867" Properties=species:S:1:pos:R:3 comment="Pu2ThHg | Alexandria | PBE | optimized geometry" space_group="P4/mmm, No. 123" pbc="T T T"
Pu 0.000 0.000 2.128
Pu 0.000 0.000 6.739
Th 1.762 1.762 4.434
Hg 1.762 1.762 0.000

***

Model x:
16
Lattice="7.524 0.000 0.000 0.000 7.524 0.000 0.000 0.000 7.524" Properties=species:S:1:pos:R:3 comment="Pu2ThHg | Alexandria | PBE | optimized geometry" space_group="Fm-3m, No. 225" pbc="T T T"
Pu 1.881 1.881 1.881
Pu 1.881 1.881 5.643
Pu 1.881 5.643 1.881
Pu 1.881 5.643 5.643
Pu 5.643 1.881 1.881
Pu 5.643 1.881 5.643
Pu 5.643 5.643 1.881
Pu 5.643 5.643 5.643
Th 0.000 0.000 0.000
Th 0.000 3.762 3.762
Th 3.762 0.000 3.762
Th 3.762 3.762 0.000
Hg 0.000 0.000 3.762
Hg 0.000 3.762 0.000
Hg 3.762 0.000 0.000
Hg 3.762 3.762 3.762

***

Most stable pick: model w. Distance to second place: 8.8 kJ/mol of atoms.

***

Model w:
4
Lattice="3.938 0.000 0.000 0.000 3.938 0.000 0.000 0.000 6.187" Properties=species:S:1:pos:R:3 comment="Pu2TiHg | Alexandria | PBE | optimized geometry" space_group="P4/mmm, No. 123" pbc="T T T"
Pu 0.000 0.000 1.524
Pu 0.000 0.000 4.663
Ti 1.969 1.969 0.000
Hg 1.969 1.969 3.094

***

Model x:
4
Lattice="4.251 0.000 0.000 0.000 4.251 0.000 0.000 0.000 4.879" Properties=species:S:1:pos:R:3 comment="Pu2TiHg | Alexandria | PBE | optimized geometry" space_group="P4/mmm, No. 123" pbc="T T T"
Pu 0.000 2.125 0.000
Pu 2.125 0.000 0.000
Ti 0.000 0.000 2.440
Hg 2.125 2.125 2.440

***

Most stable pick: model x. Distance to second place: 5.5 kJ/mol of atoms.

***

Model w:
6
Lattice="3.081 0.000 0.000 0.000 3.081 0.000 0.000 0.000 13.541" Properties=species:S:1:pos:R:3 comment="PuTiHg | Alexandria | PBE | optimized geometry" space_group="I4mm, No. 107" pbc="T T T"
Pu 0.000 0.000 0.000
Pu 1.540 1.540 6.771
Ti 0.000 0.000 4.547
Ti 1.540 1.540 11.318
Hg 0.000 0.000 9.320
Hg 1.540 1.540 2.550

***

Model x:
6
Lattice="4.102 0.000 0.000 0.000 3.352 0.000 -1.010 0.000 9.202" Properties=species:S:1:pos:R:3 comment="PuTiHg | Alexandria | PBE | optimized geometry" space_group="P2_1/m, No. 11" pbc="T T T"
Pu 0.503 0.838 0.608
Pu 2.590 2.514 8.594
Ti 0.513 2.514 4.384
Ti 2.579 0.838 4.819
Hg 0.552 0.838 6.811
Hg 2.540 2.514 2.391

***

Most stable pick: model w. Distance to second place: 25.8 kJ/mol of atoms.

***

Model w:
4
Lattice="4.905 0.000 0.000 0.000 4.905 0.000 0.000 0.000 3.166" Properties=species:S:1:pos:R:3 comment="PuTi2Hg | Alexandria | PBE | optimized geometry" space_group="P4/mmm, No. 123" pbc="T T T"
Pu 0.000 0.000 0.000
Ti 0.000 2.452 1.583
Ti 2.452 0.000 1.583
Hg 2.452 2.452 0.000

***

Model x:
4
Lattice="3.167 0.000 0.000 0.000 3.167 0.000 0.000 0.000 7.832" Properties=species:S:1:pos:R:3 comment="PuTi2Hg | Alexandria | PBE | optimized geometry" space_group="P4/mmm, No. 123" pbc="T T T"
Pu 0.000 0.000 0.000
Ti 1.583 1.583 2.014
Ti 1.583 1.583 5.818
Hg 0.000 0.000 3.916

***

Most stable pick: model w. Distance to second place: 2.5 kJ/mol of atoms.

***

Model w:
10
Lattice="3.362 -7.934 0.000 3.362 7.934 0.000 0.000 0.000 5.580" Properties=species:S:1:pos:R:3 comment="PuTlHg3 | Alexandria | PBE | optimized geometry" space_group="Cmcm, No. 63" pbc="T T T"
Pu 3.362 4.882 4.185
Pu 3.362 -4.882 1.395
Tl 3.362 2.596 1.395
Tl 3.362 -2.596 4.185
Hg 0.000 0.000 0.000
Hg 0.000 0.000 2.790
Hg 1.672 2.238 4.185
Hg 1.672 -2.238 1.395
Hg 5.052 2.238 4.185
Hg 5.052 -2.238 1.395

***

Model x:
10
Lattice="3.011 -9.446 0.000 3.011 9.446 0.000 0.000 0.000 5.587" Properties=species:S:1:pos:R:3 comment="PuTlHg3 | Alexandria | PBE | optimized geometry" space_group="Cmcm, No. 63" pbc="T T T"
Pu 3.011 6.561 4.190
Pu 3.011 -6.561 1.397
Tl 3.011 0.886 4.190
Tl 3.011 -0.886 1.397
Hg 0.000 0.000 0.000
Hg 0.000 0.000 2.793
Hg 1.486 3.779 4.190
Hg 1.486 -3.779 1.397
Hg 4.536 3.779 4.190
Hg 4.536 -3.779 1.397

***

Most stable pick: model w. Distance to second place: 8.6 kJ/mol of atoms.

***

Model w:
4
Lattice="3.657 0.000 0.000 0.000 3.657 0.000 0.000 0.000 7.916" Properties=species:S:1:pos:R:3 comment="TmPuTlHg | Alexandria | PBE | optimized geometry" space_group="P4mm, No. 99" pbc="T T T"
Tm 0.000 0.000 0.000
Pu 0.000 0.000 4.100
Tl 1.829 1.829 1.959
Hg 1.829 1.829 6.181

***

Model x:
16
Lattice="7.527 0.000 0.000 0.000 7.527 0.000 0.000 0.000 7.527" Properties=species:S:1:pos:R:3 comment="TmPuTlHg | Alexandria | PBE | optimized geometry" space_group="F-43m, No. 216" pbc="T T T"
Tm 0.000 0.000 0.000
Tm 0.000 3.764 3.764
Tm 3.764 0.000 3.764
Tm 3.764 3.764 0.000
Pu 0.000 0.000 3.764
Pu 0.000 3.764 0.000
Pu 3.764 0.000 0.000
Pu 3.764 3.764 3.764
Tl 1.882 1.882 1.882
Tl 1.882 5.645 5.645
Tl 5.645 1.882 5.645
Tl 5.645 5.645 1.882
Hg 1.882 1.882 5.645
Hg 1.882 5.645 1.882
Hg 5.645 1.882 1.882
Hg 5.645 5.645 5.645

***

Most stable pick: model w. Distance to second place: 2.2 kJ/mol of atoms.